A plane-wave DFT calculation with PBE was carried out for an optimized crystal structure of SrY3C.

POSCAR file:
```
SrY3C
1.0
-2.141 3.398 3.273
-3.699 1.023 -3.481
-2.930 -3.775 2.003
Y C Sr
3 1 1
Cartesian
-1.070 1.699 1.637
-1.849 0.512 -1.741
-1.465 -1.888 1.002
0.000 0.000 0.000
-4.385 0.323 0.898
```

## Properties
E_form: 76 meV per atom
Offset from the most stable computed form: 0 meV/atom
Symmetry: Pm-3m (221)
Final energy: -5.98 eV per atom

***

A plane-wave DFT calculation with PBE was carried out for an optimized crystal structure of Ac8Ni3PdBr4.

POSCAR file:
```
Ac8Ni3PdBr4
1.0
8.727 0.000 0.000
0.000 9.633 0.649
-4.363 -4.369 6.169
Ac Ni Br Pd
8 3 4 1
Cartesian
6.497 2.770 0.453
2.230 2.770 0.453
2.133 2.495 6.365
-2.133 2.495 6.365
0.000 4.631 3.349
4.363 4.642 3.288
0.000 0.623 3.529
4.363 0.634 3.469
-2.182 2.632 3.409
2.182 2.632 3.409
4.363 4.817 0.324
0.000 0.000 0.000
-2.182 -2.184 3.085
2.182 -2.184 3.085
4.363 0.000 0.000
0.000 4.817 0.324
```

## Properties
Symmetry: R-3m (166)
Formation energy (no corrections): -0.905 eV per atom
Final energy: -4.79 eV per atom

***

A plane-wave DFT calculation with PBE was carried out for an optimized crystal structure of Zr2ScAl6.

POSCAR file:
```
Zr2ScAl6
1.0
-0.204 1.325 -2.869
-1.523 -6.918 -3.088
-5.786 4.482 2.481
Al Sc Zr
6 1 2
Cartesian
-2.027 2.154 -0.609
-6.904 0.529 -1.014
-4.979 -0.963 -1.839
-3.962 3.654 0.221
-2.534 -0.148 -1.636
-0.609 -1.639 -2.462
-5.786 4.482 2.481
-3.148 -1.793 -4.100
-4.365 0.682 0.625
```

## Properties
E_form: -453 meV per atom
Offset from the most stable computed form: 0 meV/atom
Symmetry: P6/mmm (191)
Final energy: -5.55 eV per atom